1.
YPBr3 | GGA-PBEsol | optimized geometry

abc: 5.104 5.104 5.104
angles: 90.00 90.00 90.00
Space group Pm-3m (No. 221)
One atom of each set of equivalent atoms:
Y (0.000, 0.000, 0.000)
P (0.500, 0.500, 0.500)
Br (0.000, 0.500, 0.500)

Computed properties:
N(E_F) = 4.51 states/eV per cell
spin magnetization = 1.3 μB per cell
calculated volume = 132.97 Å³ per cell
ΔE_f (raw) = -56 meV per atom

2.
YP3Br | GGA-PBEsol | optimized geometry

abc: 5.213 5.213 5.213
angles: 90.00 90.00 90.00
Space group Pm-3m (No. 221)
One atom of each set of equivalent atoms:
Y (0.000, 0.000, 0.000)
P (0.000, 0.000, 0.500)
Br (0.500, 0.500, 0.500)

Computed properties:
N(E_F) = 7.48 states/eV per cell
spin magnetization = 0.0 μB per cell
calculated volume = 141.66 Å³ per cell
ΔE_f (raw) = 807 meV per atom

3.
ZnP2Br | GGA-PBEsol | optimized geometry

abc: 2.8309 2.8309 32.6540
angles: 90.00 90.00 120.00
Space group R-3m (No. 166, hexagonal axes)
One atom of each set of equivalent atoms:
Zn (0.0000, 0.0000, 0.0000)
P (0.0000, 0.0000, 0.2722)
Br (0.0000, 0.0000, 0.5000)

Computed properties:
N(E_F) = 7.13 states/eV per cell
spin magnetization = 0.0 μB per cell
calculated volume = 226.62 Å³ per cell
polymorph energy (0 for the lowest one) = 0 meV/atom
ΔE_f (raw) = 475 meV per atom

4.
ZnP2Br | GGA-PBEsol | optimized geometry

abc: 3.062 4.675 4.707
angles: 90.00 90.00 90.00
Space group Pmmm (No. 47)
One atom of each set of equivalent atoms:
Zn (0.000, 0.000, 0.000)
P (0.000, 0.500, 0.500)
P (0.500, 0.000, 0.500)
Br (0.500, 0.500, 0.000)

Computed properties:
N(E_F) = 1.72 states/eV per cell
spin magnetization = 0.0 μB per cell
calculated volume = 67.38 Å³ per cell
polymorph energy (0 for the lowest one) = 104 meV/atom
ΔE_f (raw) = 579 meV per atom

5.
Zn3PBr | GGA-PBEsol | optimized geometry

abc: 4.857 4.857 4.857
angles: 90.00 90.00 90.00
Space group Pm-3m (No. 221)
One atom of each set of equivalent atoms:
Zn (0.000, 0.000, 0.500)
P (0.500, 0.500, 0.500)
Br (0.000, 0.000, 0.000)

Computed properties:
N(E_F) = 0.88 states/eV per cell
spin magnetization = 0.0 μB per cell
calculated volume = 114.56 Å³ per cell
ΔE_f (raw) = 992 meV per atom

6.
ZrPBr2 | GGA-PBEsol | optimized geometry

abc: 3.562 5.198 12.114
angles: 90.00 90.00 90.00
Space group Imm2 (No. 44)
One atom of each set of equivalent atoms:
Zr (0.000, 0.000, 0.000)
P (0.000, 0.500, 0.358)
Br (0.000, 0.000, 0.449)
Br (0.000, 0.500, 0.672)

Computed properties:
N(E_F) = 2.00 states/eV per cell
spin magnetization = 0.0 μB per cell
calculated volume = 224.29 Å³ per cell
polymorph energy (0 for the lowest one) = 0 meV/atom
ΔE_f (raw) = -470 meV per atom

7.
ZrPBr2 | GGA-PBEsol | optimized geometry

abc: 3.279 5.733 10.200
angles: 90.00 90.00 90.00
Space group Cmmm (No. 65)
One atom of each set of equivalent atoms:
Zr (0.000, 0.000, 0.000)
P (0.000, 0.000, 0.500)
Br (0.000, 0.500, 0.207)

Computed properties:
N(E_F) = 4.79 states/eV per cell
spin magnetization = 1.2 μB per cell
calculated volume = 191.75 Å³ per cell
polymorph energy (0 for the lowest one) = 476 meV/atom
ΔE_f (raw) = 6 meV per atom

8.
ZrPBr2 | GGA-PBEsol | optimized geometry

abc: 6.803 6.816 3.334
angles: 90.00 90.00 90.00
Space group Cmmm (No. 65)
One atom of each set of equivalent atoms:
Zr (0.000, 0.000, 0.000)
P (0.000, 0.500, 0.000)
Br (0.250, 0.250, 0.500)

Computed properties:
N(E_F) = 5.88 states/eV per cell
spin magnetization = 0.0 μB per cell
calculated volume = 154.58 Å³ per cell
polymorph energy (0 for the lowest one) = 602 meV/atom
ΔE_f (raw) = 133 meV per atom

9.
PaBr4 | GGA-PBEsol | optimized geometry

abc: 8.759 8.759 7.911
angles: 90.00 90.00 90.00
Space group I4_1/amd (No. 141, origin choice 2)
One atom of each set of equivalent atoms:
Pa (0.000, 0.250, 0.375)
Br (0.000, 0.064, 0.699)

Computed properties:
N(E_F) = 27.54 states/eV per cell
spin magnetization = 4.0 μB per cell
calculated volume = 606.98 Å³ per cell
ΔE_f (raw) = -1365 meV per atom

10.
PbBr3 | GGA-PBEsol | optimized geometry

abc: 4.964 4.964 4.296
angles: 90.00 90.00 90.00
Space group P4/mmm (No. 123)
One atom of each set of equivalent atoms:
Pb (0.000, 0.000, 0.000)
Br (0.000, 0.500, 0.500)
Br (0.500, 0.500, 0.000)

Computed properties:
N(E_F) = 5.27 states/eV per cell
spin magnetization = 0.0 μB per cell
calculated volume = 105.85 Å³ per cell
ΔE_f (raw) = -286 meV per atom

11.
PbBr3 | GGA-PBEsol | optimized geometry

abc: 4.0730 4.0730 9.0943
angles: 90.00 90.00 120.00
Space group P-6m2 (No. 187)
One atom of each set of equivalent atoms:
Pb (0.0000, 0.0000, 0.0000)
Br (0.0000, 0.0000, 0.5000)
Br (0.3333, 0.6667, 0.2068)

Computed properties:
N(E_F) = 4.84 states/eV per cell
spin magnetization = 1.0 μB per cell
calculated volume = 130.65 Å³ per cell
ΔE_f (raw) = -293 meV per atom

12.
PbBr3 | GGA-PBEsol | optimized geometry

abc: 4.355 5.697 10.190
angles: 90.00 90.00 90.00
Space group Pmmn (No. 59, origin choice 2)
One atom of each set of equivalent atoms:
Pb (0.250, 0.250, 0.168)
Br (0.250, 0.003, 0.665)
Br (0.250, 0.750, 0.044)

Computed properties:
N(E_F) = 2.61 states/eV per cell
spin magnetization = 0.0 μB per cell
calculated volume = 252.83 Å³ per cell
ΔE_f (raw) = -629 meV per atom

> What is the N(E_F) in the third record?

7.13 states/eV per cell

> Which value of calculated volume does entry 7 give?

191.75 Å³ per cell

> Among the records above, which one has the lowest ΔE_f (raw)?

PaBr4

> Among the records above, which one has the lowest ΔE_f (raw)?

PaBr4